The following is a DFT calculation (PBE) of a relaxed structure of MnHSe2.

* SG: I4/mcm (140)
* offset from the most stable computed form: 740 meV per atom
* DFT total energy: -4.3645 eV/atom
* size of the total moment: 0.00 μB per cell

abc: 5.1344 5.1344 5.1344
angles: 106.11 106.11 116.42
Fractional coordinates of all 8 atoms:
Mn (0.2500, 0.2500, 0.0000)
Mn (0.7500, 0.7500, 0.0000)
H (0.2500, 0.7500, 0.5000)
H (0.7500, 0.2500, 0.5000)
Se (0.1784, 0.6784, 0.8567)
Se (0.3216, 0.1784, 0.5000)
Se (0.6784, 0.8216, 0.5000)
Se (0.8216, 0.3216, 0.1433)

=====

The following is a DFT calculation (PBE) of a relaxed structure of MnHSe3.

* SG: Pm-3m (221)
* offset from the most stable computed form: 0 meV per atom
* DFT total energy: -3.8232 eV/atom
* size of the total moment: 1.04 μB per cell

abc: 4.7029 4.7029 4.7029
angles: 90.00 90.00 90.00
Fractional coordinates of all 5 atoms:
Mn (0.0000, 0.0000, 0.0000)
H (0.5000, 0.5000, 0.5000)
Se (0.0000, 0.0000, 0.5000)
Se (0.0000, 0.5000, 0.0000)
Se (0.5000, 0.0000, 0.0000)

=====

The following is a DFT calculation (PBE) of a relaxed structure of MnHSe2.

* SG: P1 (1)
* offset from the most stable computed form: 135 meV per atom
* DFT total energy: -4.9695 eV/atom
* size of the total moment: 0.00 μB per cell

abc: 3.6135 5.7817 7.0504
angles: 112.27 104.54 91.34
Fractional coordinates of all 8 atoms:
Mn (0.0000, 0.0000, 0.0000)
Mn (0.4865, 0.5939, 0.9744)
H (0.1851, 0.5882, 0.3808)
H (0.3171, 0.1582, 0.2324)
Se (0.0634, 0.4595, 0.1377)
Se (0.3976, 0.1006, 0.7962)
Se (0.6793, 0.9761, 0.2500)
Se (0.8687, 0.5906, 0.7375)

=====

The following is a DFT calculation (PBE) of a relaxed structure of Mn2HSe.

* SG: P3m1 (156)
* offset from the most stable computed form: 73 meV per atom
* DFT total energy: -6.2094 eV/atom
* size of the total moment: 1.03 μB per cell

abc: 3.0248 3.0248 6.0312
angles: 90.00 90.00 120.00
Fractional coordinates of all 4 atoms:
Mn (0.0000, 0.0000, 0.0000)
Mn (0.3333, 0.6667, 0.6753)
H (0.3333, 0.6667, 0.0280)
Se (0.0000, 0.0000, 0.4180)

=====

> Number 2 is which compound?

MnHSe3